(1)
! FeSi2Pb (PBE, relaxed); values from VASP
&SYSTEM
  ibrav = 0, nat = 4, ntyp = 3
/
ATOMIC_SPECIES
Fe 55.84 Fe.upf
Si 28.09 Si.upf
Pb 207.20 Pb.upf
CELL_PARAMETERS angstrom
2.675 -3.799 0.000
2.675 3.799 0.000
0.000 0.000 3.612
ATOMIC_POSITIONS crystal
Fe 0.000 0.000 0.000
Si 0.000 0.500 0.500
Si 0.500 0.000 0.500
Pb 0.500 0.500 0.000
! E_tot ... -0.18443 Ha/atom
! Symmetry ... Cmmm (65)
! Total magnetization ... 2.4 μB per formula unit


(2)
! FeSi2Pb (PBE, relaxed); values from VASP
&SYSTEM
  ibrav = 0, nat = 4, ntyp = 3
/
ATOMIC_SPECIES
Fe 55.84 Fe.upf
Si 28.09 Si.upf
Pb 207.20 Pb.upf
CELL_PARAMETERS angstrom
-2.131 2.131 3.952
2.131 -2.131 3.952
2.131 2.131 -3.952
ATOMIC_POSITIONS crystal
Fe 0.000 0.000 0.000
Si 0.500 0.500 0.000
Si 0.750 0.250 0.500
Pb 0.250 0.750 0.500
! E_tot ... -0.18350 Ha/atom
! Symmetry ... I-4m2 (119)
! Total magnetization ... 2.5 μB per formula unit


(3)
! FeSi2Pb (PBE, relaxed); values from VASP
&SYSTEM
  ibrav = 0, nat = 4, ntyp = 3
/
ATOMIC_SPECIES
Fe 55.84 Fe.upf
Si 28.09 Si.upf
Pb 207.20 Pb.upf
CELL_PARAMETERS angstrom
3.373 -1.946 0.000
3.373 1.946 0.000
-2.234 0.000 5.696
ATOMIC_POSITIONS crystal
Fe 0.000 0.000 0.000
Si 0.300 0.300 0.898
Si 0.700 0.700 0.102
Pb 0.500 0.500 0.500
! E_tot ... -0.20660 Ha/atom
! Symmetry ... C2/m (12)
! Total magnetization ... 0.7 μB per formula unit